4
Lattice="-2.083 -5.650 2.940 4.079 -0.064 -3.426 1.736 -1.056 2.087" Properties=species:S:1:pos:R:3 comment="Cd2WCl, relaxed, DFT PBE-GGA" e_form_raw_ev_per_atom=0.524 relative_energy_ev_per_atom=0.386 final_energy_ev_per_atom=-3.63 volume_a3_per_atom=19.29 pbc="T T T"
Cl 2.907 -0.560 -0.669
W 0.998 -2.857 -0.243
Cd 0.000 0.000 0.000
Cd -0.174 -3.353 2.513


4
Lattice="-1.028 2.449 2.385 -3.459 0.373 0.798 -0.569 -5.524 8.101" Properties=species:S:1:pos:R:3 comment="HfTh2Fe, relaxed, DFT PBE-GGA" final_energy_ev_per_atom=-7.77 e_form_mev_per_atom=549 volume_a3_per_atom=26.49 pbc="T T T"
Hf 0.000 0.000 0.000
Fe -2.528 -1.351 5.642
Th -0.870 -3.425 5.815
Th -4.186 0.723 5.469